Entry 1:
This record from Alexandria via LeMat-Bulk describes an optimized crystal structure of LiHgN3. The functional is PBE-GGA.

Cell lengths 4.297, 4.297, 4.297 Å; angles 90.00, 90.00, 90.00 degrees
Fractional coordinates of all 5 atoms:
N (0.000, 0.500, 0.000)
N (0.000, 0.000, 0.500)
N (0.500, 0.000, 0.000)
Li (0.500, 0.500, 0.500)
Hg (0.000, 0.000, 0.000)

Calculated values
- SG = Pm-3m
- ΔE_f (raw) (eV/atom) = 2.267
- total magnetization (μB/f.u.) = 4.04


Entry 2:
This record from Alexandria via LeMat-Bulk describes an optimized crystal structure of Li5TeS4Cl2. The functional is PBE-GGA.

Cell lengths 6.166, 6.229, 7.393 Å; angles 90.00, 90.00, 119.67 degrees
Fractional coordinates of all 12 atoms:
S (0.662, 0.000, 0.292)
S (0.662, 0.000, 0.708)
Te (0.459, 0.000, 0.000)
S (0.391, 0.354, 0.000)
Li (0.686, 0.611, 0.264)
Cl (0.336, 0.359, 0.500)
S (0.037, 0.646, 0.000)
Li (0.686, 0.611, 0.736)
Cl (0.977, 0.641, 0.500)
Li (0.361, 0.000, 0.500)
Li (0.075, 0.389, 0.736)
Li (0.075, 0.389, 0.264)

Calculated values
- SG = Amm2
- ΔE_f (raw) (eV/atom) = -1.014
- total magnetization (μB/f.u.) = 0.00


Entry 3:
This record from Alexandria via LeMat-Bulk describes an optimized crystal structure of YAlSn. The functional is PBE-GGA.

Cell lengths 6.949, 6.949, 6.949 Å; angles 90.00, 90.00, 90.00 degrees
Fractional coordinates of all 12 atoms:
Y (0.966, 0.534, 0.466)
Y (0.534, 0.466, 0.966)
Al (0.491, 0.009, 0.991)
Sn (0.715, 0.785, 0.215)
Y (0.034, 0.034, 0.034)
Y (0.466, 0.966, 0.534)
Sn (0.285, 0.285, 0.285)
Al (0.509, 0.509, 0.509)
Al (0.991, 0.491, 0.009)
Al (0.009, 0.991, 0.491)
Sn (0.785, 0.215, 0.715)
Sn (0.215, 0.715, 0.785)

Calculated values
- SG = P2_13
- total magnetization (μB/f.u.) = 0.00
- E_form (kJ/mol of formula units) = -25.5


Entry 4:
This record from Alexandria via LeMat-Bulk describes an optimized crystal structure of Cs2ScWBr6. The functional is PBE-GGA.

Cell lengths 7.608, 7.608, 7.609 Å; angles 60.01, 60.01, 90.00 degrees
Fractional coordinates of all 10 atoms:
Br (0.755, 0.755, 0.000)
Br (0.755, 0.755, 0.490)
Br (0.245, 0.245, 0.000)
Br (0.245, 0.245, 0.510)
Cs (0.750, 0.250, 0.500)
Br (0.245, 0.755, 0.000)
W (0.000, 0.000, 0.000)
Sc (0.500, 0.500, 0.000)
Cs (0.250, 0.750, 0.500)
Br (0.755, 0.245, 0.000)

Calculated values
- SG = Fm-3m
- ΔE_f (raw) (eV/atom) = -0.969
- total magnetization (μB/f.u.) = 1.00


Entry 5:
This record from Alexandria via LeMat-Bulk describes an optimized crystal structure of RbAlSe2. The functional is PBE-GGA.

Cell lengths 7.095, 3.704, 18.582 Å; angles 90.00, 90.00, 90.00 degrees
Fractional coordinates of all 16 atoms:
Se (0.920, 0.750, 0.161)
Se (0.420, 0.750, 0.339)
Rb (0.581, 0.250, 0.847)
Rb (0.419, 0.750, 0.153)
Al (0.921, 0.250, 0.071)
Se (0.231, 0.250, 0.012)
Se (0.580, 0.250, 0.661)
Al (0.421, 0.250, 0.429)
Se (0.080, 0.250, 0.839)
Al (0.579, 0.750, 0.571)
Al (0.079, 0.750, 0.929)
Se (0.269, 0.750, 0.512)
Se (0.731, 0.250, 0.488)
Rb (0.081, 0.250, 0.653)
Se (0.769, 0.750, 0.988)
Rb (0.919, 0.750, 0.347)

Calculated values
- SG = Pnma
- ΔE_f (raw) (eV/atom) = -1.000
- total magnetization (μB/f.u.) = 0.00


Entry 6:
This record from Alexandria via LeMat-Bulk describes an optimized crystal structure of Li2CdInH. The functional is PBE-GGA.

Cell lengths 4.263, 4.263, 4.474 Å; angles 90.00, 90.00, 90.00 degrees
Fractional coordinates of all 5 atoms:
In (0.000, 0.000, 0.500)
Li (0.500, 0.000, 0.000)
Li (0.000, 0.500, 0.000)
Cd (0.500, 0.500, 0.500)
H (0.000, 0.000, 0.000)

Calculated values
- SG = P4/mmm
- total magnetization (μB/f.u.) = 0.00
- E (eV/atom) = -2.292


Entry 7:
This record from Alexandria via LeMat-Bulk describes an optimized crystal structure of Er2Ga4CuIr3. The functional is PBE-GGA.

Cell lengths 3.956, 3.956, 11.368 Å; angles 90.00, 90.00, 90.00 degrees
Fractional coordinates of all 10 atoms:
Cu (0.500, 0.500, 0.500)
Ga (0.000, 0.000, 0.000)
Ir (0.500, 0.000, 0.855)
Ir (0.000, 0.000, 0.500)
Er (0.500, 0.000, 0.245)
Ga (0.000, 0.500, 0.366)
Ga (0.500, 0.000, 0.634)
Ir (0.000, 0.500, 0.145)
Ga (0.500, 0.500, 0.000)
Er (0.000, 0.500, 0.755)

Calculated values
- SG = P-4m2
- total magnetization (μB/f.u.) = 0.00
- E_form (kJ/mol of formula units) = -609.8


Entry 8:
This record from Alexandria via LeMat-Bulk describes an optimized crystal structure of KSb2S2. The functional is PBE-GGA.

Cell lengths 8.919, 8.919, 3.789 Å; angles 90.00, 90.00, 90.00 degrees
Fractional coordinates of all 10 atoms:
K (0.000, 0.000, 0.000)
Sb (0.183, 0.683, 0.500)
S (0.817, 0.683, 0.000)
Sb (0.683, 0.817, 0.500)
K (0.500, 0.500, 0.000)
S (0.317, 0.817, 0.000)
Sb (0.317, 0.183, 0.500)
S (0.183, 0.317, 0.000)
S (0.683, 0.183, 0.000)
Sb (0.817, 0.317, 0.500)

Calculated values
- SG = P4/mbm
- ΔE_f (raw) (eV/atom) = -0.211
- total magnetization (μB/f.u.) = 0.00


Entry 9:
This record from Alexandria via LeMat-Bulk describes an optimized crystal structure of LaBeAs. The functional is PBE-GGA.

Cell lengths 4.462, 4.462, 4.462 Å; angles 60.00, 60.00, 60.00 degrees
Fractional coordinates of all 3 atoms:
La (0.000, 0.000, 0.000)
As (0.500, 0.500, 0.500)
Be (0.750, 0.750, 0.750)

Calculated values
- SG = F-43m
- total magnetization (μB/f.u.) = 0.00
- E_form (kJ/mol of formula units) = -83.4


Entry 10:
This record from Alexandria via LeMat-Bulk describes an optimized crystal structure of V2NiPd9. The functional is PBE-GGA.

Cell lengths 3.893, 3.893, 11.620 Å; angles 90.00, 90.00, 90.00 degrees
Fractional coordinates of all 12 atoms:
Ni (0.000, 0.000, 0.000)
Pd (0.500, 0.500, 0.335)
Pd (0.500, 0.500, 0.000)
Pd (0.500, 0.000, 0.830)
Pd (0.500, 0.000, 0.500)
Pd (0.500, 0.000, 0.170)
V (0.000, 0.000, 0.324)
Pd (0.000, 0.500, 0.830)
V (0.000, 0.000, 0.676)
Pd (0.000, 0.500, 0.170)
Pd (0.500, 0.500, 0.665)
Pd (0.000, 0.500, 0.500)

Calculated values
- SG = P4/mmm
- total magnetization (μB/f.u.) = 1.23
- E_form (kJ/mol of formula units) = -188.1


Entry 11:
This record from Alexandria via LeMat-Bulk describes an optimized crystal structure of Cu2Pt2Au7. The functional is PBE-GGA.

Cell lengths 6.752, 5.348, 5.348 Å; angles 93.30, 98.36, 98.36 degrees
Fractional coordinates of all 11 atoms:
Pt (0.845, 0.597, 0.597)
Au (0.205, 0.920, 0.536)
Au (0.000, 0.000, 0.000)
Cu (0.500, 0.676, 0.324)
Au (0.576, 0.840, 0.840)
Pt (0.155, 0.403, 0.403)
Au (0.795, 0.464, 0.080)
Au (0.205, 0.536, 0.920)
Cu (0.500, 0.324, 0.676)
Au (0.795, 0.080, 0.464)
Au (0.424, 0.160, 0.160)

Calculated values
- SG = C2/m
- total magnetization (μB/f.u.) = 0.00
- E_form (kJ/mol of formula units) = 25.0


Entry 12:
This record from Alexandria via LeMat-Bulk describes an optimized crystal structure of SrInAsBr2. The functional is PBE-GGA.

Cell lengths 5.908, 5.908, 6.229 Å; angles 90.00, 90.00, 90.00 degrees
Fractional coordinates of all 5 atoms:
As (0.000, 0.000, 0.500)
Br (0.500, 0.000, 0.000)
Sr (0.000, 0.000, 0.000)
In (0.500, 0.500, 0.500)
Br (0.000, 0.500, 0.000)

Calculated values
- SG = P4/mmm
- ΔE_f (raw) (eV/atom) = -0.589
- total magnetization (μB/f.u.) = 2.00